Record 1
Computed, not measured: VIr3Br after structural relaxation at the PBE-GGA level of DFT.

Cell lengths 4.5978, 4.5978, 4.5978 Å; angles 90.00, 90.00, 90.00 degrees
Last column: magnetic moment on the atom in μB.
Element x y z (fractional)
Ir: 0.0000 0.0000 0.5000  -0.31
Ir: 0.0000 0.5000 0.0000  -0.31
V: 0.5000 0.5000 0.5000  2.49
Br: 0.0000 0.0000 0.0000  0.00
Ir: 0.5000 0.0000 0.0000  -0.31

Results
Crystal system = cubic
Density of states at the Fermi level = 8.19 states/eV/f.u.
Energy relative to the elements, uncorrected = 1.8521 eV per atom
Symmetry = Pm-3m
E = -5.623 eV/atom
Energy relative to the lowest polymorph listed for this composition = 323.5 meV/atom

***

Record 2
Computed, not measured: NaMgTlBr4 after structural relaxation at the PBE-GGA level of DFT.

Cell lengths 7.3682, 7.6461, 8.8638 Å; angles 90.00, 106.42, 90.00 degrees
Element x y z (fractional)
Br: 0.4449 0.7500 0.1389
Br: 0.9873 0.0011 0.7231
Br: 0.5551 0.2500 0.8611
Mg: 0.2480 0.7500 0.3260
Br: 0.0127 0.5011 0.2769
Br: 0.0127 0.9989 0.2769
Br: 0.5327 0.2500 0.4032
Na: 0.2211 0.2500 0.5593
Br: 0.9873 0.4989 0.7231
Tl: 0.7684 0.7500 0.9446
Na: 0.7789 0.7500 0.4407
Tl: 0.2316 0.2500 0.0554
Br: 0.4673 0.7500 0.5968
Mg: 0.7520 0.2500 0.6740

Results
Crystal system = monoclinic
Density of states at the Fermi level = 0.00 states/eV/f.u.
Energy relative to the elements, uncorrected = -1.2897 eV per atom
Symmetry = P2_1/m
E = -3.000 eV/atom

***

Record 3
Computed, not measured: Cs2CS3 after structural relaxation at the PBE-GGA level of DFT.

Cell lengths 7.3071, 7.3071, 10.5759 Å; angles 106.44, 106.44, 100.41 degrees
Element x y z (fractional)
C: 0.3349 0.3349 0.6699
S: 0.4851 0.7523 0.2374
S: 0.7553 0.7553 0.5105
S: 0.7523 0.4851 0.2374
C: 0.6651 0.6651 0.3301
Cs: 0.2500 0.7500 0.5000
Cs: 0.7284 0.7284 0.0000
S: 0.5149 0.2477 0.7626
S: 0.2477 0.5149 0.7626
S: 0.2447 0.2447 0.4895
Cs: 0.2716 0.2716 0.0000
Cs: 0.7500 0.2500 0.5000

Results
Crystal system = orthorhombic
Density of states at the Fermi level = 0.00 states/eV/f.u.
Energy relative to the elements, uncorrected = -0.5945 eV per atom
Symmetry = Fmmm
E = -4.480 eV/atom

***

Record 4
Computed, not measured: NpU2S4 after structural relaxation at the PBE-GGA level of DFT.

Cell lengths 3.8084, 6.7814, 12.8217 Å; angles 90.00, 90.00, 106.31 degrees
Last column: magnetic moment on the atom in μB.
Element x y z (fractional)
S: 0.7746 0.5491 0.1262  -0.09
S: 0.2254 0.4509 0.8738  -0.09
U: 0.1340 0.2680 0.0660  2.58
U: 0.1340 0.2680 0.4340  2.58
S: 0.7746 0.5491 0.3738  -0.09
S: 0.9649 0.9298 0.7500  -0.09
S: 0.2254 0.4509 0.6262  -0.09
S: 0.5000 0.0000 0.5000  -0.09
Np: 0.3822 0.7645 0.2500  4.12
U: 0.8660 0.7320 0.5660  2.58
Np: 0.6178 0.2355 0.7500  4.12
S: 0.0351 0.0702 0.2500  -0.09
U: 0.8660 0.7320 0.9340  2.58
S: 0.5000 0.0000 0.0000  -0.09

Results
Crystal system = orthorhombic
Density of states at the Fermi level = 17.34 states/eV/f.u.
Energy relative to the elements, uncorrected = -1.3474 eV per atom
Symmetry = Cmcm
E = -8.780 eV/atom
Energy relative to the lowest polymorph listed for this composition = 39.2 meV/atom

***

Record 5
Computed, not measured: Na2TlBi2Pd2 after structural relaxation at the PBE-GGA level of DFT.

Cell lengths 5.1369, 5.1369, 8.8083 Å; angles 106.95, 106.95, 90.00 degrees
Element x y z (fractional)
Na: 0.8097 0.8097 0.6193
Bi: 0.3985 0.3985 0.7970
Bi: 0.6015 0.6015 0.2030
Pd: 0.5000 0.0000 0.0000
Na: 0.1903 0.1903 0.3807
Pd: 0.0000 0.5000 0.0000
Tl: 0.0000 0.0000 0.0000

Results
Crystal system = tetragonal
Density of states at the Fermi level = 3.40 states/eV/f.u.
Energy of formation = -0.06 eV per atom
Symmetry = I4/mmm
E = -3.372 eV/atom

***

Record 6
Computed, not measured: BeSeBr2 after structural relaxation at the PBE-GGA level of DFT.

Cell lengths 4.9220, 4.9220, 4.9220 Å; angles 60.00, 60.00, 60.00 degrees
Element x y z (fractional)
Br: 0.7500 0.7500 0.7500
Be: 0.0000 0.0000 0.0000
Br: 0.2500 0.2500 0.2500
Se: 0.5000 0.5000 0.5000

Results
Crystal system = cubic
Density of states at the Fermi level = 4.25 states/eV/f.u.
Energy relative to the elements, uncorrected = 0.8415 eV per atom
Symmetry = Fm-3m
E = -1.798 eV/atom
Energy relative to the lowest polymorph listed for this composition = 1283.7 meV/atom

***

Record 7
Computed, not measured: ScTiRe2O after structural relaxation at the PBE-GGA level of DFT.

Cell lengths 4.2307, 4.0515, 4.2307 Å; angles 90.00, 90.00, 90.00 degrees
Element x y z (fractional)
Sc: 0.5000 0.5000 0.5000
Re: 0.5000 0.0000 0.0000
Ti: 0.0000 0.5000 0.0000
Re: 0.0000 0.0000 0.5000
O: 0.0000 0.0000 0.0000

Results
Crystal system = tetragonal
Density of states at the Fermi level = 5.47 states/eV/f.u.
Energy relative to the elements, uncorrected = -0.3218 eV per atom
Symmetry = P4/mmm
E = -9.138 eV/atom

***

Record 8
Computed, not measured: RbNdGe2O6 after structural relaxation at the PBE-GGA level of DFT.

Cell lengths 7.5621, 7.5621, 5.8145 Å; angles 98.88, 98.88, 87.24 degrees
Element x y z (fractional)
Ge: 0.3046 0.1380 0.7923
Nd: 0.6167 0.3833 0.2500
Ge: 0.1380 0.3046 0.2923
O: 0.6829 0.5457 0.6378
O: 0.1475 0.1735 0.5311
Ge: 0.8620 0.6954 0.7077
O: 0.0816 0.6172 0.7668
Ge: 0.6954 0.8620 0.2077
Rb: 0.1750 0.8250 0.2500
O: 0.3828 0.9184 0.7332
O: 0.1735 0.1475 0.0311
O: 0.3171 0.4543 0.3622
O: 0.5457 0.6829 0.1378
Rb: 0.8250 0.1750 0.7500
O: 0.6172 0.0816 0.2668
Nd: 0.3833 0.6167 0.7500
O: 0.8525 0.8265 0.4689
O: 0.4543 0.3171 0.8622
O: 0.8265 0.8525 0.9689
O: 0.9184 0.3828 0.2332

Results
Crystal system = monoclinic
Density of states at the Fermi level = 0.00 states/eV/f.u.
Energy relative to the elements, uncorrected = -2.1728 eV per atom
Symmetry = C2/c
E = -6.645 eV/atom

***

Record 9
Computed, not measured: Sr4CdBi8 after structural relaxation at the PBE-GGA level of DFT.

Cell lengths 4.7106, 4.9897, 19.0229 Å; angles 90.00, 90.00, 90.00 degrees
Element x y z (fractional)
Bi: 0.5000 0.0000 0.2230
Bi: 0.5000 0.0000 0.5984
Sr: 0.5000 0.5000 0.3925
Bi: 0.0000 0.0000 0.4781
Bi: 0.0000 0.5000 0.2200
Bi: 0.5000 0.5000 0.0428
Sr: 0.0000 0.5000 0.6138
Bi: 0.0000 0.0000 0.7486
Bi: 0.5000 0.5000 0.7607
Bi: 0.0000 0.5000 0.9258
Sr: 0.0000 0.0000 0.0794
Sr: 0.5000 0.0000 0.8954
Cd: 0.0000 0.0000 0.3245

Results
Crystal system = orthorhombic
Density of states at the Fermi level = 5.31 states/eV/f.u.
Energy of formation = -0.51 eV per atom
Symmetry = Pmm2
E = -3.487 eV/atom

***

Record 10
Computed, not measured: CoNi2Hg after structural relaxation at the PBE-GGA level of DFT.

Cell lengths 4.6228, 4.6228, 4.6228 Å; angles 132.01, 132.06, 70.17 degrees
Last column: magnetic moment on the atom in μB.
Element x y z (fractional)
Hg: 0.2500 0.7500 0.5000  -0.02
Co: 0.4999 0.4999 0.0000  1.67
Ni: 0.7500 0.2500 0.5000  0.57
Ni: 0.0001 0.0001 0.0000  0.47

Results
Crystal system = tetragonal
Density of states at the Fermi level = 5.69 states/eV/f.u.
Energy of formation = 0.30 eV per atom
Symmetry = I-4m2
E = -4.445 eV/atom

***

Record 11
Computed, not measured: Th2SbI2 after structural relaxation at the PBE-GGA level of DFT.

Cell lengths 4.4183, 4.4183, 12.1146 Å; angles 79.49, 79.49, 60.00 degrees
Element x y z (fractional)
Sb: 0.0000 0.0000 0.0000
I: 0.2255 0.2255 0.3235
I: 0.7745 0.7745 0.6765
Th: 0.3818 0.3818 0.8545
Th: 0.6182 0.6182 0.1455

Results
Crystal system = trigonal
Density of states at the Fermi level = 3.06 states/eV/f.u.
Energy relative to the elements, uncorrected = -0.9681 eV per atom
Symmetry = R-3m
E = -5.381 eV/atom

***

Record 12
Computed, not measured: Ac2RuCl after structural relaxation at the PBE-GGA level of DFT.

Cell lengths 3.6407, 3.6407, 8.4623 Å; angles 90.00, 90.00, 90.00 degrees
Last column: magnetic moment on the atom in μB.
Element x y z (fractional)
Ac: 0.0000 0.0000 0.7848  -0.01
Ru: 0.5000 0.5000 0.0000  0.22
Cl: 0.5000 0.5000 0.5000  0.00
Ac: 0.0000 0.0000 0.2152  -0.01

Results
Crystal system = tetragonal
Density of states at the Fermi level = 2.47 states/eV/f.u.
Energy relative to the elements, uncorrected = -0.7725 eV per atom
Symmetry = P4/mmm
E = -5.607 eV/atom
Energy relative to the lowest polymorph listed for this composition = 140.4 meV/atom